# 1
Below is crystalline Ru2PtSe at its relaxed geometry, with properties calculated at the PBE level.

Output
* E_form (uncorrected): 1.10 eV per formula unit
* crystal system: monoclinic
* space-group type: P2/m, No. 10

Lattice parameters (Å, degrees): 3.936 3.067 5.325 72.66 90.00 90.00
Sites, in units of the cell vectors:
Pt 0.500 0.750 0.750
Ru 0.000 0.117 0.012
Ru 0.000 0.383 0.488
Se 0.500 0.250 0.250


# 2
Below is crystalline Si2RuPtSe at its relaxed geometry, with properties calculated at the PBE level.

Output
* E_form (uncorrected): 7.04 eV per formula unit
* crystal system: tetragonal
* space-group type: P4/mmm, No. 123

Lattice parameters (Å, degrees): 4.674 4.654 4.674 90.00 90.00 90.00
Each line ends with the local moment (μB).
Sites, in units of the cell vectors:
Ru 0.500 0.500 0.500  1.71
Si 0.000 0.000 0.500  -0.02
Si 0.500 0.000 0.000  -0.02
Se 0.000 0.000 0.000  -0.02
Pt 0.000 0.500 0.000  0.01


# 3
Below is crystalline Th4RuPtSe2 at its relaxed geometry, with properties calculated at the PBE level.

Output
* E_form (uncorrected): -9.73 eV per formula unit
* crystal system: monoclinic
* space-group type: P2/m, No. 10

Lattice parameters (Å, degrees): 4.143 7.702 7.165 72.03 90.00 90.00
Sites, in units of the cell vectors:
Th 0.000 0.719 0.766
Th 0.000 0.281 0.234
Th 0.500 0.720 0.250
Th 0.500 0.280 0.750
Ru 0.500 0.500 0.000
Pt 0.000 0.500 0.500
Se 0.000 0.000 0.000
Se 0.500 0.000 0.500


# 4
Below is crystalline TiRu2PtSe at its relaxed geometry, with properties calculated at the PBE level.

Output
* E_form (uncorrected): 5.24 eV per formula unit
* crystal system: tetragonal
* space-group type: P4/mmm, No. 123

Lattice parameters (Å, degrees): 4.509 4.733 4.509 90.00 90.00 90.00
Each line ends with the local moment (μB).
Sites, in units of the cell vectors:
Ru 0.000 0.000 0.500  1.17
Ru 0.500 0.000 0.000  1.24
Se 0.000 0.500 0.000  0.11
Pt 0.500 0.500 0.500  0.24
Ti 0.000 0.000 0.000  -0.17


# 5
Below is crystalline Zn2RuPtSe at its relaxed geometry, with properties calculated at the PBE level.

Output
* E_form (uncorrected): 3.33 eV per formula unit
* crystal system: tetragonal
* space-group type: P4/mmm, No. 123

Lattice parameters (Å, degrees): 4.748 4.814 4.748 90.00 90.00 90.00
Sites, in units of the cell vectors:
Ru 0.000 0.500 0.000
Zn 0.000 0.000 0.500
Zn 0.500 0.000 0.000
Se 0.500 0.500 0.500
Pt 0.000 0.000 0.000


# 6
Below is crystalline ZrRu2PtSe at its relaxed geometry, with properties calculated at the PBE level.

Output
* E_form (uncorrected): 2.83 eV per formula unit
* crystal system: tetragonal
* space-group type: P4/mmm, No. 123

Lattice parameters (Å, degrees): 4.467 4.935 4.467 90.00 90.00 90.00
Each line ends with the local moment (μB).
Sites, in units of the cell vectors:
Ru 0.000 0.000 0.500  0.28
Ru 0.500 0.000 0.000  0.34
Se 0.000 0.000 0.000  -0.01
Zr 0.000 0.500 0.000  -0.05
Pt 0.500 0.500 0.500  0.11


# 7
Below is crystalline SiRu2Pt at its relaxed geometry, with properties calculated at the PBE level.

Output
* E_form (uncorrected): 0.11 eV per formula unit
* crystal system: orthorhombic
* space-group type: Pmmm, No. 47

Lattice parameters (Å, degrees): 2.759 4.547 4.545 90.00 90.00 90.00
Sites, in units of the cell vectors:
Pt 0.000 0.500 0.500
Ru 0.000 0.000 0.000
Ru 0.500 0.500 0.000
Si 0.500 0.000 0.500


# 8
Below is crystalline SiRu2Pt at its relaxed geometry, with properties calculated at the PBE level.

Output
* E_form (uncorrected): 0.48 eV per formula unit
* crystal system: orthorhombic
* space-group type: Cmm2, No. 35

Lattice parameters (Å, degrees): 2.776 2.776 8.515 90.00 90.00 117.68
Each line ends with the local moment (μB).
Sites, in units of the cell vectors:
Pt 0.500 0.500 0.724  0.02
Ru 0.000 0.000 0.008  0.81
Ru 0.500 0.500 0.274  0.08
Si 0.000 0.000 0.494  0.00


# 9
Below is crystalline SiRu2Pt at its relaxed geometry, with properties calculated at the PBE level.

Output
* E_form (uncorrected): -0.76 eV per formula unit
* crystal system: tetragonal
* space-group type: P4mm, No. 99

Lattice parameters (Å, degrees): 2.838 2.838 6.928 90.00 90.00 90.00
Sites, in units of the cell vectors:
Pt 0.500 0.500 0.716
Ru 0.000 0.000 0.018
Ru 0.500 0.500 0.273
Si 0.000 0.000 0.493


# 10
Below is crystalline SiRu2Pt at its relaxed geometry, with properties calculated at the PBE level.

Output
* E_form (uncorrected): 0.44 eV per formula unit
* crystal system: monoclinic
* space-group type: C2/m, No. 12

Lattice parameters (Å, degrees): 5.343 5.343 2.729 75.91 75.91 121.37
Sites, in units of the cell vectors:
Pt 0.000 0.500 0.500
Ru 0.000 0.000 0.000
Ru 0.500 0.500 0.000
Si 0.500 0.000 0.500


# 11
Below is crystalline SiRu2Pt at its relaxed geometry, with properties calculated at the PBE level.

Output
* E_form (uncorrected): -0.77 eV per formula unit
* crystal system: tetragonal
* space-group type: I-4m2, No. 119

Lattice parameters (Å, degrees): 4.650 4.650 4.650 131.21 131.21 71.48
Sites, in units of the cell vectors:
Pt 0.750 0.250 0.500
Ru 0.000 0.000 0.000
Ru 0.250 0.750 0.500
Si 0.500 0.500 0.000


# 12
Below is crystalline SiRu2Pt at its relaxed geometry, with properties calculated at the PBE level.

Output
* E_form (uncorrected): 0.10 eV per formula unit
* crystal system: orthorhombic
* space-group type: Cmmm, No. 65

Lattice parameters (Å, degrees): 2.757 2.757 8.574 90.00 90.00 118.19
Sites, in units of the cell vectors:
Pt 0.500 0.500 0.750
Ru 0.000 0.000 0.029
Ru 0.000 0.000 0.471
Si 0.500 0.500 0.250